Density functional theory data (GGA-PBEsol) for a geometry-optimized K2LaBe structure.

Cell and atoms, written as extended XYZ:
```
4
Lattice="3.2704 -6.7226 0.0000 3.2704 6.7226 0.0000 -2.0498 0.0000 3.1288" Properties=species:S:1:pos:R:3 pbc="T T T"
K 1.6352 3.3613 0.0000
K 1.6352 -3.3613 0.0000
La -1.0249 0.0000 1.5644
Be 2.2455 0.0000 1.5644
```

Results
**Fermi-level density of states**: 0.941 states/eV per atom
**Space group**: C2/m (12)

=====

Density functional theory data (GGA-PBEsol) for a geometry-optimized BaNb2Pt2 structure.

Cell and atoms, written as extended XYZ:
```
5
Lattice="-2.2227 2.2227 5.6148 2.2227 -2.2227 5.6148 2.2227 2.2227 -5.6148" Properties=species:S:1:pos:R:3 pbc="T T T"
Ba 0.0000 0.0000 0.0000
Nb 2.2227 0.0000 2.8074
Nb 0.0000 2.2227 2.8074
Pt 0.0000 0.0000 4.2477
Pt 0.0000 0.0000 6.9818
```

Results
**Fermi-level density of states**: 1.357 states/eV per atom
**Space group**: I4/mmm (139)

=====

Density functional theory data (GGA-PBEsol) for a geometry-optimized Co3ReSn structure.

Cell and atoms, written as extended XYZ:
```
5
Lattice="4.4053 0.0000 0.0000 0.0000 4.4053 0.0000 0.0000 0.0000 4.4053" Properties=species:S:1:pos:R:3 pbc="T T T"
Co 0.0000 0.0000 2.2027
Co 0.0000 2.2027 0.0000
Co 2.2027 0.0000 0.0000
Re 0.0000 0.0000 0.0000
Sn 2.2027 2.2027 2.2027
```

Results
**Fermi-level density of states**: 1.742 states/eV per atom
**Space group**: Pm-3m (221)

=====

The records above yield ΔE_f values of 0.814, -0.181, 1.330 eV per atom, respectively.
The records above yield M_tot values of 0.0, 0.0, 0.0 μB per cell, respectively.